(1)
First-principles (PBE-GGA) data for Pr4RuAuBr2 after structural relaxation, as listed in Alexandria via LeMat-Bulk.

Lattice parameters (Å, degrees): 7.420 4.214 8.231 90.00 107.59 90.00
Positions (direct):
1 Pr 0.223 0.000 0.199
2 Pr 0.239 0.500 0.798
3 Pr 0.761 0.500 0.202
4 Pr 0.777 0.000 0.801
5 Ru 0.000 0.500 0.000
6 Au 0.500 0.000 0.000
7 Br 0.000 0.000 0.500
8 Br 0.500 0.500 0.500

ΔE_f (raw): -0.910 eV per atom
density: 6.9 g/cm³
SG: No. 10
D(E_F): 4.5 states/eV per cell
magnetic moment: 0.00 μB per cell



(2)
First-principles (PBE-GGA) data for Sc2B2C after structural relaxation, as listed in Alexandria via LeMat-Bulk.

Lattice parameters (Å, degrees): 3.376 5.830 5.830 29.01 90.00 90.00
Positions (direct):
1 Sc 0.000 0.000 0.000
2 Sc 0.000 0.254 0.254
3 B 0.500 0.667 0.667
4 B 0.500 0.833 0.833
5 C 0.500 0.402 0.402

DFT formation energy: -319 meV/atom
density: 3.7 g/cm³
energy above the most stable polymorph in this dataset: 139 meV per atom
SG: No. 38
D(E_F): 1.5 states/eV per cell
magnetic moment: 0.00 μB per cell



(3)
First-principles (PBE-GGA) data for Cs2RbWCl8 after structural relaxation, as listed in Alexandria via LeMat-Bulk.

Lattice parameters (Å, degrees): 5.860 10.459 8.004 90.00 106.07 90.00
Positions (direct):
1 Cs 0.000 0.235 0.000
2 Cs 0.000 0.765 0.000
3 Rb 0.500 0.000 0.500
4 W 0.500 0.500 0.500
5 Cl 0.081 0.000 0.752
6 Cl 0.113 0.500 0.318
7 Cl 0.401 0.339 0.674
8 Cl 0.401 0.661 0.674
9 Cl 0.599 0.339 0.326
10 Cl 0.599 0.661 0.326
11 Cl 0.887 0.500 0.682
12 Cl 0.919 0.000 0.248

ΔE_f (raw): -1.371 eV per atom
density: 2.9 g/cm³
SG: No. 10
D(E_F): 7.0 states/eV per cell
magnetic moment: 1.00 μB per cell



(4)
First-principles (PBE-GGA) data for Sr2Bi4Rh3Au after structural relaxation, as listed in Alexandria via LeMat-Bulk.

Lattice parameters (Å, degrees): 4.879 4.879 10.793 90.00 90.00 90.00
Positions (direct):
1 Sr 0.000 0.500 0.242
2 Sr 0.500 0.000 0.758
3 Bi 0.000 0.000 0.500
4 Bi 0.000 0.500 0.867
5 Bi 0.500 0.000 0.133
6 Bi 0.500 0.500 0.500
7 Rh 0.000 0.000 0.000
8 Rh 0.000 0.500 0.620
9 Rh 0.500 0.000 0.380
10 Au 0.500 0.500 0.000

DFT formation energy: -404 meV/atom
density: 9.8 g/cm³
SG: No. 115
D(E_F): 7.0 states/eV per cell
magnetic moment: 0.00 μB per cell